Entry 1:
Compound: Tb2PmHoSc
Source: Alexandria
Functional: GGA-PBE
Structure: relaxed

abc: 6.3572 6.3578 8.5713
angles: 111.77 90.00 90.00
With the nearest neighbours (Å) after each atom.
Fractional positions:
Tb: 0.0000 0.2484 0.0000  4 Tb 3.16-3.20, 2 Sc 3.32, 2 Pm 3.42
Tb: 0.5000 0.7516 0.0000  4 Tb 3.16-3.20, 2 Sc 3.32, 2 Pm 3.42
Tb: 0.5000 0.2484 0.0000  4 Tb 3.16-3.20, 2 Sc 3.32, 2 Pm 3.42
Tb: 0.0000 0.7516 0.0000  4 Tb 3.16-3.20, 2 Sc 3.32, 2 Pm 3.42
Pm: 0.7500 0.3381 0.6762  1 Sc 2.93
Pm: 0.2500 0.6619 0.3238  1 Sc 2.93
Ho: 0.7500 0.7508 0.5017  4 Pm 3.47-3.48, 4 Sc 3.52-3.53
Ho: 0.2500 0.2492 0.4983  4 Pm 3.47-3.48, 4 Sc 3.52-3.53
Sc: 0.2500 0.8461 0.6921  1 Pm 2.93
Sc: 0.7500 0.1539 0.3079  1 Pm 2.93

Calculated volume   32.173 Å³ per atom
Space-group type   Cmcm (63)
E_form   0.367 eV per atom
E_tot   -0.33938 Ry per atom

Entry 2:
Compound: Tb4PmHo2Sc
Source: Alexandria
Functional: GGA-PBE
Structure: relaxed

abc: 7.0444 12.2064 12.2043
angles: 146.45 106.77 89.94
With the nearest neighbours (Å) after each atom.
Fractional positions:
Sc: 0.0000 0.5000 0.5000  6 Tb 3.52-3.54, 4 Pm 3.52, 2 Ho 3.53
Sc: 0.0000 0.5000 0.0000  6 Tb 3.47-3.51, 6 Ho 3.52-3.53
Tb: 0.2489 0.2502 0.4999  6 Tb 3.51-3.53, 1 Sc 3.52, 2 Pm 3.52-3.53, 3 Ho 3.52-3.53
Tb: 0.2484 0.2525 0.9979  1 Sc 3.47, 3 Ho 3.48-3.57, 6 Tb 3.51-3.53, 2 Pm 3.57
Tb: 0.7516 0.7475 0.0021  1 Sc 3.47, 3 Ho 3.48-3.57, 6 Tb 3.51-3.53, 2 Pm 3.57
Tb: 0.7515 0.2502 0.5017  3 Ho 3.51-3.54, 2 Sc 3.51-3.54, 6 Tb 3.51-3.55, 1 Pm 3.54
Tb: 0.7512 0.2525 0.0010  2 Sc 3.50-3.53, 3 Ho 3.51-3.55, 6 Tb 3.51-3.55, 1 Pm 3.54
Tb: 0.7511 0.7498 0.5001  6 Tb 3.51-3.53, 1 Sc 3.52, 2 Pm 3.52-3.53, 3 Ho 3.52-3.53
Tb: 0.2485 0.7498 0.4983  3 Ho 3.51-3.54, 2 Sc 3.51-3.54, 6 Tb 3.51-3.55, 1 Pm 3.54
Tb: 0.2488 0.7475 0.9990  2 Sc 3.50-3.53, 3 Ho 3.51-3.55, 6 Tb 3.51-3.55, 1 Pm 3.54
Ho: 0.5000 0.0000 0.0000  4 Pm 3.52, 2 Sc 3.53, 6 Tb 3.54-3.57
Ho: 0.5000 0.5000 0.0000  6 Tb 3.48-3.53, 2 Sc 3.52, 4 Ho 3.52-3.53
Ho: 0.0000 0.0000 0.5000  6 Tb 3.48-3.52, 4 Ho 3.52-3.53, 2 Sc 3.52
Ho: 0.5000 0.0000 0.5000  6 Tb 3.51-3.53, 4 Ho 3.52, 2 Sc 3.53
Pm: 0.5000 0.5000 0.5000  2 Sc 3.52, 2 Ho 3.52, 6 Tb 3.53-3.57, 2 Pm 3.53
Pm: 0.0000 0.0000 0.0000  6 Tb 3.52-3.57, 2 Ho 3.52, 2 Sc 3.52, 2 Pm 3.53

Calculated volume   30.953 Å³ per atom
Space-group type   C2/m (12)
E_form   0.029 eV per atom
E_tot   -0.35396 Ry per atom

Entry 3:
Compound: TbPm2Ho5Sc
Source: Alexandria
Functional: GGA-PBE
Structure: relaxed

abc: 5.5442 10.3126 10.3718
angles: 90.00 90.00 105.59
With the nearest neighbours (Å) after each atom.
Fractional positions:
Pm: 0.1149 0.2299 0.7349  1 Sc 3.32, 7 Ho 3.45-3.66, 2 Tb 3.64
Pm: 0.1126 0.2253 0.3145  9 Ho 3.24-3.62, 1 Sc 3.53
Pm: 0.8874 0.7747 0.8145  9 Ho 3.24-3.62, 1 Sc 3.53
Pm: 0.8851 0.7701 0.2349  1 Sc 3.32, 7 Ho 3.45-3.66, 2 Tb 3.64
Ho: 0.7243 0.4485 0.8208  1 Tb 3.01, 1 Pm 3.24, 2 Ho 3.37
Ho: 0.7013 0.4027 0.2035  1 Tb 3.37, 4 Ho 3.37-3.67, 2 Sc 3.40, 3 Pm 3.48-3.66
Ho: 0.3757 0.7513 0.0198  4 Pm 3.50-3.56, 1 Sc 3.57, 4 Ho 3.59-3.70
Ho: 0.0168 0.0336 0.0177  2 Tb 3.20, 3 Pm 3.32-3.52, 1 Sc 3.56
Ho: 0.5178 0.0356 0.2404  2 Tb 3.12-3.27, 2 Pm 3.44
Ho: 0.9832 0.9664 0.5177  2 Tb 3.20, 3 Pm 3.32-3.52, 1 Sc 3.56
Ho: 0.6243 0.2487 0.5198  4 Pm 3.50-3.56, 1 Sc 3.57, 4 Ho 3.59-3.70
Ho: 0.4822 0.9644 0.7404  2 Tb 3.12-3.27, 2 Pm 3.44
Ho: 0.2987 0.5973 0.7035  1 Tb 3.37, 4 Ho 3.37-3.67, 2 Sc 3.40, 3 Pm 3.48-3.66
Ho: 0.2757 0.5515 0.3208  1 Tb 3.01, 1 Pm 3.24, 2 Ho 3.37
Sc: 0.1960 0.3921 0.0145  2 Pm 3.32-3.53, 7 Ho 3.40-3.57, 2 Tb 3.52
Sc: 0.8040 0.6079 0.5145  2 Pm 3.32-3.53, 7 Ho 3.40-3.57, 2 Tb 3.52
Tb: 0.5905 0.1810 0.9579  6 Ho 3.01-3.37
Tb: 0.4095 0.8190 0.4579  6 Ho 3.01-3.37

Calculated volume   31.732 Å³ per atom
Space-group type   Cmc2_1 (36)
E_form   0.157 eV per atom
E_tot   -0.34246 Ry per atom

Entry 4:
Compound: Tb2PmHoSc4
Source: Alexandria
Functional: GGA-PBE
Structure: relaxed

abc: 9.1034 9.1034 11.3085
angles: 128.40 128.40 88.39
With the nearest neighbours (Å) after each atom.
Fractional positions:
Tb: 0.5000 0.0000 0.0000  6 Sc 3.17-3.26, 2 Pm 3.26
Tb: 0.0000 0.0000 0.5000  6 Sc 3.19-3.28, 2 Tb 3.26
Tb: 0.5000 0.5000 0.0000  6 Sc 3.19-3.28, 2 Tb 3.26
Tb: 0.5000 0.0000 0.5000  6 Sc 3.17-3.26, 2 Pm 3.26
Sc: 0.7481 0.7485 0.9974  3 Tb 3.17-3.28, 1 Pm 3.18, 2 Ho 3.25-3.26, 2 Sc 3.26
Sc: 0.7515 0.7519 0.5026  3 Tb 3.17-3.28, 1 Pm 3.18, 2 Ho 3.25-3.26, 2 Sc 3.26
Sc: 0.7504 0.2485 0.9994  1 Ho 3.16, 3 Tb 3.19-3.26, 2 Sc 3.25-3.27, 2 Pm 3.27
Sc: 0.2515 0.7496 0.5006  1 Ho 3.16, 3 Tb 3.19-3.26, 2 Sc 3.25-3.27, 2 Pm 3.27
Sc: 0.7485 0.2504 0.4994  1 Ho 3.16, 3 Tb 3.19-3.26, 2 Sc 3.25-3.27, 2 Pm 3.27
Sc: 0.2496 0.7515 0.0006  1 Ho 3.16, 3 Tb 3.19-3.26, 2 Sc 3.25-3.27, 2 Pm 3.27
Sc: 0.2519 0.2515 0.0026  3 Tb 3.17-3.28, 1 Pm 3.18, 2 Ho 3.25-3.26, 2 Sc 3.26
Sc: 0.2485 0.2481 0.4974  3 Tb 3.17-3.28, 1 Pm 3.18, 2 Ho 3.25-3.26, 2 Sc 3.26
Ho: 0.0000 0.0000 0.0000  6 Sc 3.16-3.26, 2 Ho 3.26
Ho: 0.5000 0.5000 0.5000  6 Sc 3.16-3.26, 2 Ho 3.26
Pm: 0.0000 0.5000 0.0000  6 Sc 3.18-3.27, 2 Tb 3.26
Pm: 0.0000 0.5000 0.5000  6 Sc 3.18-3.27, 2 Tb 3.26

Calculated volume   29.249 Å³ per atom
Space-group type   C2/c (15)
E_form   0.427 eV per atom
E_tot   -0.37211 Ry per atom

Entry 5:
Compound: TbPm2Ho6Sc3
Source: Alexandria
Functional: GGA-PBE
Structure: relaxed

abc: 6.0540 6.0540 11.4836
angles: 95.04 95.04 119.98
With the nearest neighbours (Å) after each atom.
Fractional positions:
Ho: 0.9128 0.5798 0.7390  3 Sc 3.37, 6 Ho 3.49-3.50, 1 Tb 3.57, 2 Pm 3.57-3.58
Ho: 0.0872 0.4202 0.2610  3 Sc 3.37, 6 Ho 3.49-3.50, 1 Tb 3.57, 2 Pm 3.57-3.58
Ho: 0.4202 0.0872 0.2610  3 Sc 3.37, 6 Ho 3.49-3.50, 1 Tb 3.57, 2 Pm 3.57-3.58
Ho: 0.2458 0.2458 0.7390  3 Sc 3.37, 6 Ho 3.49-3.50, 1 Tb 3.57, 2 Pm 3.58
Ho: 0.5798 0.9128 0.7390  3 Sc 3.37, 6 Ho 3.49-3.50, 1 Tb 3.57, 2 Pm 3.57-3.58
Ho: 0.7542 0.7542 0.2610  3 Sc 3.37, 6 Ho 3.49-3.50, 1 Tb 3.57, 2 Pm 3.58
Pm: 0.6667 0.3333 0.0000  3 Tb 3.49-3.50, 3 Pm 3.50, 6 Ho 3.57-3.58
Pm: 0.3333 0.6667 0.0000  3 Tb 3.49-3.50, 3 Pm 3.50, 6 Ho 3.57-3.58
Tb: 0.0000 0.0000 0.0000  6 Pm 3.49-3.50, 6 Ho 3.57
Sc: 0.5000 0.5000 0.5000  6 Ho 3.37, 6 Sc 3.50
Sc: 0.8334 0.1666 0.5000  6 Ho 3.37, 6 Sc 3.49-3.50
Sc: 0.1666 0.8334 0.5000  6 Ho 3.37, 6 Sc 3.49-3.50

Calculated volume   29.908 Å³ per atom
Space-group type   C2/m (12)
E_form   0.045 eV per atom
E_tot   -0.36782 Ry per atom

Entry 6:
Compound: Tb5Pm2HoSc
Source: Alexandria
Functional: GGA-PBE
Structure: relaxed

abc: 5.5502 10.4354 10.3776
angles: 90.00 90.00 105.42
With the nearest neighbours (Å) after each atom.
Fractional positions:
Pm: 0.8849 0.7698 0.2359  1 Sc 3.31, 7 Tb 3.49-3.70, 2 Ho 3.64
Pm: 0.8870 0.7739 0.8130  8 Tb 3.25-3.52, 1 Sc 3.51
Pm: 0.1151 0.2302 0.7359  1 Sc 3.31, 7 Tb 3.49-3.70, 2 Ho 3.64
Pm: 0.1130 0.2261 0.3130  8 Tb 3.25-3.52, 1 Sc 3.51
Tb: 0.0158 0.0316 0.0152  2 Ho 3.24, 3 Pm 3.33-3.52, 1 Sc 3.60
Tb: 0.2744 0.5489 0.3209  1 Ho 3.02, 1 Pm 3.25, 2 Tb 3.37
Tb: 0.7016 0.4032 0.2030  1 Ho 3.34, 3 Tb 3.37-3.62, 2 Sc 3.40, 3 Pm 3.49-3.70
Tb: 0.2984 0.5968 0.7030  1 Ho 3.34, 3 Tb 3.37-3.62, 2 Sc 3.40, 3 Pm 3.49-3.70
Tb: 0.7256 0.4511 0.8209  1 Ho 3.02, 1 Pm 3.25, 2 Tb 3.37
Tb: 0.6266 0.2533 0.5197  4 Pm 3.52-3.58, 1 Sc 3.59, 4 Tb 3.62-3.71
Tb: 0.5165 0.0331 0.2420  2 Ho 3.16-3.31, 2 Pm 3.47
Tb: 0.4835 0.9669 0.7420  2 Ho 3.16-3.31, 2 Pm 3.47
Tb: 0.3734 0.7467 0.0197  4 Pm 3.52-3.58, 1 Sc 3.59, 4 Tb 3.62-3.71
Tb: 0.9842 0.9684 0.5152  2 Ho 3.24, 3 Pm 3.33-3.52, 1 Sc 3.60
Sc: 0.1948 0.3897 0.0148  2 Pm 3.31-3.51, 7 Tb 3.40-3.60, 2 Ho 3.49
Sc: 0.8052 0.6103 0.5148  2 Pm 3.31-3.51, 7 Tb 3.40-3.60, 2 Ho 3.49
Ho: 0.4066 0.8132 0.4595  6 Tb 3.02-3.34
Ho: 0.5934 0.1868 0.9595  6 Tb 3.02-3.34

Calculated volume   32.189 Å³ per atom
Space-group type   Cmc2_1 (36)
E_form   0.154 eV per atom
E_tot   -0.34445 Ry per atom

Entry 7:
Compound: Tb2Pm2HoSc
Source: Alexandria
Functional: GGA-PBE
Structure: relaxed

abc: 5.5930 6.8788 9.6832
angles: 90.00 90.00 90.00
With the nearest neighbours (Å) after each atom.
Fractional positions:
Tb: 0.5000 0.2576 0.3316  3 Ho 3.11-3.44, 2 Pm 3.13
Tb: 0.5000 0.7576 0.6684  3 Ho 3.11-3.44, 2 Pm 3.13
Tb: 0.0000 0.7576 0.1632  2 Ho 3.32, 7 Pm 3.38-3.64, 2 Sc 3.69
Tb: 0.0000 0.2576 0.8368  2 Ho 3.32, 7 Pm 3.38-3.64, 2 Sc 3.69
Ho: 0.5000 0.7575 0.3472  5 Tb 3.11-3.44
Ho: 0.5000 0.2575 0.6528  5 Tb 3.11-3.44
Pm: 0.5000 0.5076 0.0000  6 Pm 3.44-3.75, 6 Tb 3.64, 2 Ho 3.78
Pm: 0.5000 0.0076 0.0000  6 Pm 3.44-3.75, 6 Tb 3.64, 2 Ho 3.78
Pm: 0.0000 0.2577 0.1861  5 Tb 3.13-3.45, 2 Sc 3.49
Pm: 0.0000 0.7577 0.8139  5 Tb 3.13-3.45, 2 Sc 3.49
Sc: 0.0000 0.0076 0.5000  2 Sc 3.44, 2 Pm 3.49, 4 Ho 3.60, 6 Tb 3.67-3.69
Sc: 0.0000 0.5076 0.5000  2 Sc 3.44, 2 Pm 3.49, 4 Ho 3.60, 6 Tb 3.67-3.69

Calculated volume   31.045 Å³ per atom
Space-group type   Pmma (51)
E_form   0.093 eV per atom
E_tot   -0.35662 Ry per atom

Entry 8:
Compound: TbPmHo5Sc2
Source: Alexandria
Functional: GGA-PBE
Structure: relaxed

abc: 5.5727 11.0333 9.3262
angles: 90.00 90.00 104.63
With the nearest neighbours (Å) after each atom.
Fractional positions:
Tb: 0.8122 0.6243 0.5193  2 Sc 3.18-3.26, 5 Ho 3.36-3.43, 2 Pm 3.52
Tb: 0.1878 0.3757 0.0193  2 Sc 3.18-3.26, 5 Ho 3.36-3.43, 2 Pm 3.52
Ho: 0.7347 0.4695 0.8345  1 Pm 3.03, 1 Sc 3.25, 2 Ho 3.36, 1 Tb 3.37
Ho: 0.3070 0.6140 0.7206  5 Ho 3.36-3.71, 2 Tb 3.36, 3 Sc 3.41-3.55, 1 Pm 3.49
Ho: 0.6930 0.3860 0.2206  5 Ho 3.36-3.71, 2 Tb 3.36, 3 Sc 3.41-3.55, 1 Pm 3.49
Ho: 0.4687 0.9374 0.7486  2 Pm 3.16-3.40, 4 Ho 3.21-3.54, 2 Sc 3.37
Ho: 0.9914 0.9827 0.5200  1 Sc 3.18, 2 Pm 3.51, 2 Ho 3.54
Ho: 0.5313 0.0626 0.2486  2 Pm 3.16-3.40, 4 Ho 3.21-3.54, 2 Sc 3.37
Ho: 0.3909 0.7819 0.0434  4 Sc 3.20-3.45, 3 Ho 3.21-3.56, 1 Pm 3.49
Ho: 0.6091 0.2181 0.5434  4 Sc 3.20-3.45, 3 Ho 3.21-3.56, 1 Pm 3.49
Ho: 0.0086 0.0173 0.0200  1 Sc 3.18, 2 Pm 3.51, 2 Ho 3.54
Ho: 0.2653 0.5305 0.3345  1 Pm 3.03, 1 Sc 3.25, 2 Ho 3.36, 1 Tb 3.37
Sc: 0.8591 0.7181 0.1962  1 Tb 3.18, 3 Ho 3.20-3.55, 1 Sc 3.51
Sc: 0.1133 0.2266 0.3247  8 Ho 3.18-3.45, 1 Tb 3.26, 1 Sc 3.51
Sc: 0.8867 0.7734 0.8247  8 Ho 3.18-3.45, 1 Tb 3.26, 1 Sc 3.51
Sc: 0.1409 0.2819 0.6962  1 Tb 3.18, 3 Ho 3.20-3.55, 1 Sc 3.51
Pm: 0.4025 0.8051 0.4167  2 Ho 3.03-3.16
Pm: 0.5975 0.1949 0.9167  2 Ho 3.03-3.16

Calculated volume   30.824 Å³ per atom
Space-group type   Cmc2_1 (36)
E_form   0.169 eV per atom
E_tot   -0.35449 Ry per atom

Question: What is the E_form in the sixth record?
Answer: 0.154 eV per atom